Compound: MgScTc2
Source: Alexandria via LeMat-Bulk
Functional: PBE-GGA
Structure: optimized geometry

Summary:
Formation energy from the elements (kcal/mol of atoms): 5.0
Raw total energy (eV per atom): -6.946

Cell: 2.727 2.727 8.990 Å, 90.00 90.00 90.00°
Fractional positions:
Mg  0.000  0.000  0.000
Sc  0.000  0.000  0.500
Tc  0.500  0.500  0.247
Tc  0.500  0.500  0.753



Compound: BaSnI2
Source: Alexandria via LeMat-Bulk
Functional: PBE-GGA
Structure: optimized geometry

Summary:
Uncorrected formation energy (meV/atom): -382
Raw total energy (eV per atom): -2.638
Polymorph energy (0 for the lowest one) (kJ/mol of formula units): 132

Cell: 10.528 10.528 10.528 Å, 27.33 27.33 27.33°
Fractional positions:
Ba  0.000  0.000  0.000
Sn  0.500  0.500  0.500
I  0.114  0.114  0.114
I  0.886  0.886  0.886



Compound: ZrPaTi
Source: Alexandria via LeMat-Bulk
Functional: PBE-GGA
Structure: optimized geometry

Summary:
Formation energy from the elements (kcal/mol of atoms): 3.9
Raw total energy (eV per atom): -8.479
Polymorph energy (0 for the lowest one) (kJ/mol of formula units): 13

Cell: 7.881 7.881 3.171 Å, 92.85 92.85 138.34°
Fractional positions:
Zr  0.244  0.244  0.273
Zr  0.756  0.756  0.727
Pa  0.338  0.662  0.000
Pa  0.662  0.338  0.000
Ti  0.172  0.828  0.500
Ti  0.828  0.172  0.500